1.
This record from the Alexandria database describes crystalline Zn4Rh3Au at its relaxed geometry. The functional is GGA-PBE.

a b c (Å): 3.1612 4.2524 8.5089
angles (deg): 90.00 90.00 90.00
With the nearest neighbours (Å) after each atom.
Fractional coordinates of all 8 atoms:
Zn 0.0000 0.0000 0.0000  8 Rh 2.65-2.68, 4 Zn 2.94
Zn 0.0000 0.0000 0.5000  4 Rh 2.62, 4 Au 2.65
Zn 0.0000 0.5000 0.2384  6 Rh 2.57-2.65, 2 Au 2.73
Zn 0.0000 0.5000 0.7616  6 Rh 2.57-2.65, 2 Au 2.73
Rh 0.5000 0.0000 0.2544  8 Zn 2.62-2.68
Rh 0.5000 0.0000 0.7456  8 Zn 2.62-2.68
Rh 0.5000 0.5000 0.0000  8 Zn 2.57-2.65
Au 0.5000 0.5000 0.5000  8 Zn 2.65-2.73

Calculated values
* magnetization: 0.000 μB per formula unit
* energy of formation from the pure elements: -0.386 eV per atom
* SG: Pmmm, No. 47
* total DFT energy (no corrections): -4.19 eV per atom

***

2.
This record from the Alexandria database describes crystalline Ca2EuRh at its relaxed geometry. The functional is GGA-PBE.

a b c (Å): 3.5344 3.5344 9.7351
angles (deg): 90.00 90.00 90.00
With the nearest neighbours (Å) after each atom.
Fractional coordinates of all 4 atoms:
Ca 0.0000 0.0000 0.1688  4 Rh 2.99, 1 Ca 3.29
Ca 0.0000 0.0000 0.8312  4 Rh 2.99, 1 Ca 3.29
Eu 0.5000 0.5000 0.5000  4 Eu 3.53
Rh 0.5000 0.5000 0.0000  8 Ca 2.99

Calculated values
* magnetization: 7.694 μB per formula unit
* energy of formation from the pure elements: -0.195 eV per atom
* SG: P4/mmm, No. 123
* total DFT energy (no corrections): -5.60 eV per atom
* offset from the most stable computed form: 0.000 eV per atom

***

3.
This record from the Alexandria database describes crystalline CoP2 at its relaxed geometry. The functional is GGA-PBE.

a b c (Å): 2.6935 2.6935 11.5680
angles (deg): 90.00 90.00 90.00
With the nearest neighbours (Å) after each atom.
Fractional coordinates of all 6 atoms:
Co 0.0000 0.0000 0.0000  8 P 2.39
Co 0.5000 0.5000 0.5000  8 P 2.39
P 0.0000 0.0000 0.3753  4 Co 2.39
P 0.0000 0.0000 0.6247  4 Co 2.39
P 0.5000 0.5000 0.1247  4 Co 2.39
P 0.5000 0.5000 0.8753  4 Co 2.39

Calculated values
* magnetization: 0.422 μB per formula unit
* energy of formation from the pure elements: 0.011 eV per atom
* SG: I4/mmm, No. 139
* total DFT energy (no corrections): -5.96 eV per atom

***

4.
This record from the Alexandria database describes crystalline CaPmSmLu at its relaxed geometry. The functional is GGA-PBE.

a b c (Å): 8.1653 8.1653 8.1653
angles (deg): 90.00 90.00 90.00
With the nearest neighbours (Å) after each atom.
Fractional coordinates of all 16 atoms:
Ca 0.0000 0.0000 0.0000  4 Pm 3.54, 4 Sm 3.54
Ca 0.0000 0.5000 0.5000  4 Pm 3.54, 4 Sm 3.54
Ca 0.5000 0.0000 0.5000  4 Pm 3.54, 4 Sm 3.54
Ca 0.5000 0.5000 0.0000  4 Pm 3.54, 4 Sm 3.54
Pm 0.2500 0.2500 0.2500  4 Lu 3.54, 4 Ca 3.54
Pm 0.2500 0.7500 0.7500  4 Lu 3.54, 4 Ca 3.54
Pm 0.7500 0.2500 0.7500  4 Lu 3.54, 4 Ca 3.54
Pm 0.7500 0.7500 0.2500  4 Lu 3.54, 4 Ca 3.54
Sm 0.2500 0.2500 0.7500  4 Ca 3.54, 4 Lu 3.54
Sm 0.2500 0.7500 0.2500  4 Ca 3.54, 4 Lu 3.54
Sm 0.7500 0.2500 0.2500  4 Ca 3.54, 4 Lu 3.54
Sm 0.7500 0.7500 0.7500  4 Ca 3.54, 4 Lu 3.54
Lu 0.0000 0.0000 0.5000  4 Pm 3.54, 4 Sm 3.54
Lu 0.0000 0.5000 0.0000  4 Pm 3.54, 4 Sm 3.54
Lu 0.5000 0.0000 0.0000  4 Pm 3.54, 4 Sm 3.54
Lu 0.5000 0.5000 0.5000  4 Pm 3.54, 4 Sm 3.54

Calculated values
* magnetization: 0.001 μB per formula unit
* energy of formation from the pure elements: 0.122 eV per atom
* SG: F-43m, No. 216
* total DFT energy (no corrections): -3.88 eV per atom

***

Q: Among the records above, which one has the lowest magnetization?
A: Zn4Rh3Au